1.
DFT (GGA-PBE) results for crystalline Nd2Mg3Ag3 at its relaxed geometry.

Unit cell a=8.5744 b=8.5744 c=6.4160 alpha=90.00 beta=90.00 gamma=120.00
With the nearest neighbours (Å) after each atom.
Atoms (fractional coordinates):
Nd 0.3333 0.6667 0.0000  6 Ag 3.18, 2 Nd 3.21, 6 Mg 3.55
Nd 0.3333 0.6667 0.5000  6 Ag 3.18, 2 Nd 3.21, 6 Mg 3.55
Nd 0.6667 0.3333 0.0000  6 Ag 3.18, 2 Nd 3.21, 6 Mg 3.55
Nd 0.6667 0.3333 0.5000  6 Ag 3.18, 2 Nd 3.21, 6 Mg 3.55
Mg 0.0000 0.2698 0.2500  2 Ag 2.80
Mg 0.0000 0.7302 0.7500  2 Ag 2.80
Mg 0.2698 0.0000 0.2500  2 Ag 2.80
Mg 0.2698 0.2698 0.7500  2 Ag 2.80
Mg 0.7302 0.0000 0.7500  2 Ag 2.80
Mg 0.7302 0.7302 0.2500  2 Ag 2.80
Ag 0.0000 0.3626 0.7500  2 Mg 2.80
Ag 0.0000 0.6374 0.2500  2 Mg 2.80
Ag 0.3626 0.0000 0.7500  2 Mg 2.80
Ag 0.3626 0.3626 0.2500  2 Mg 2.80
Ag 0.6374 0.0000 0.2500  2 Mg 2.80
Ag 0.6374 0.6374 0.7500  2 Mg 2.80

Values from the calculation:
Its formation energy from the elements is -0.12 eV/atom. As for the density of states at the Fermi level: 7.56 states/eV/f.u. As for the final energy: -2.975 eV/atom. The volume is 409 Å³/cell.

***

2.
DFT (GGA-PBE) results for crystalline Nd2Mg3Ag4 at its relaxed geometry.

Unit cell a=4.9860 b=4.9860 c=9.5687 alpha=94.61 beta=94.61 gamma=60.99
With the nearest neighbours (Å) after each atom.
Atoms (fractional coordinates):
Nd 0.1453 0.1453 0.2758  7 Ag 3.04-3.19, 1 Mg 3.34
Nd 0.8547 0.8547 0.7242  7 Ag 3.04-3.19, 1 Mg 3.34
Mg 0.2011 0.2011 0.9146  5 Ag 2.92-3.05, 2 Mg 3.09
Mg 0.5000 0.5000 0.5000  6 Ag 2.99-3.05
Mg 0.7989 0.7989 0.0854  5 Ag 2.92-3.05, 2 Mg 3.09
Ag 0.1780 0.1780 0.5951  4 Mg 2.99-3.05, 4 Nd 3.04-3.14
Ag 0.4626 0.4626 0.1390  1 Ag 2.79, 4 Mg 2.92-2.98
Ag 0.5374 0.5374 0.8610  1 Ag 2.79, 4 Mg 2.92-2.98
Ag 0.8220 0.8220 0.4049  4 Mg 2.99-3.05, 4 Nd 3.04-3.14

Values from the calculation:
Its formation energy from the elements is -0.23 eV/atom. As for the density of states at the Fermi level: 6.12 states/eV/f.u. As for the final energy: -3.090 eV/atom. The volume is 207 Å³/cell.

***

3.
DFT (GGA-PBE) results for crystalline NdMg6Ag12 at its relaxed geometry.

Unit cell a=7.6420 b=7.6420 c=7.6420 alpha=104.28 beta=104.28 gamma=104.28
With the nearest neighbours (Å) after each atom.
Atoms (fractional coordinates):
Nd 0.0000 0.0000 0.0000  6 Ag 3.20
Mg 0.2832 0.2832 0.7027  8 Ag 2.69-2.99
Mg 0.2832 0.7027 0.2832  8 Ag 2.69-2.99
Mg 0.2973 0.7168 0.7168  8 Ag 2.69-2.99
Mg 0.7027 0.2832 0.2832  8 Ag 2.69-2.99
Mg 0.7168 0.2973 0.7168  8 Ag 2.69-2.99
Mg 0.7168 0.7168 0.2973  8 Ag 2.69-2.99
Ag 0.1130 0.5000 0.8870  4 Mg 2.69-2.83, 3 Ag 2.73-2.86
Ag 0.1130 0.8870 0.5000  4 Mg 2.69-2.83, 3 Ag 2.73-2.86
Ag 0.1216 0.3683 0.3683  4 Mg 2.85-2.99, 4 Ag 2.86-2.98
Ag 0.3683 0.1216 0.3683  4 Mg 2.85-2.99, 4 Ag 2.86-2.98
Ag 0.3683 0.3683 0.1216  4 Mg 2.85-2.99, 4 Ag 2.86-2.98
Ag 0.5000 0.1130 0.8870  4 Mg 2.69-2.83, 3 Ag 2.73-2.86
Ag 0.5000 0.8870 0.1130  4 Mg 2.69-2.83, 3 Ag 2.73-2.86
Ag 0.6317 0.6317 0.8784  4 Mg 2.85-2.99, 4 Ag 2.86-2.98
Ag 0.6317 0.8784 0.6317  4 Mg 2.85-2.99, 4 Ag 2.86-2.98
Ag 0.8784 0.6317 0.6317  4 Mg 2.85-2.99, 4 Ag 2.86-2.98
Ag 0.8870 0.1130 0.5000  4 Mg 2.69-2.83, 3 Ag 2.73-2.86
Ag 0.8870 0.5000 0.1130  4 Mg 2.69-2.83, 3 Ag 2.73-2.86

Values from the calculation:
Its formation energy from the elements is -0.04 eV/atom. As for the density of states at the Fermi level: 4.91 states/eV/f.u. As for the final energy: -2.591 eV/atom. The volume is 396 Å³/cell.

***

4.
DFT (GGA-PBE) results for crystalline Nd3MgAg at its relaxed geometry.

Unit cell a=10.6480 b=10.6480 c=5.3540 alpha=90.00 beta=90.00 gamma=150.89
With the nearest neighbours (Å) after each atom.
Atoms (fractional coordinates):
Nd 0.0594 0.9406 0.7500  2 Mg 3.31, 2 Ag 3.38, 4 Nd 3.63-3.69
Nd 0.2493 0.7507 0.7500  4 Ag 3.25-3.27, 4 Mg 3.32-3.34
Nd 0.4364 0.5636 0.7500  2 Mg 3.26, 2 Ag 3.33
Nd 0.5636 0.4364 0.2500  2 Mg 3.26, 2 Ag 3.33
Nd 0.7507 0.2493 0.2500  4 Ag 3.25-3.27, 4 Mg 3.32-3.34
Nd 0.9406 0.0594 0.2500  2 Mg 3.31, 2 Ag 3.38, 4 Nd 3.63-3.69
Mg 0.1540 0.8460 0.2500  8 Nd 3.26-3.34
Mg 0.8460 0.1540 0.7500  8 Nd 3.26-3.34
Ag 0.3400 0.6600 0.2500  8 Nd 3.25-3.38
Ag 0.6600 0.3400 0.7500  8 Nd 3.25-3.38

Values from the calculation:
Its formation energy from the elements is -0.11 eV/atom. As for the density of states at the Fermi level: 4.89 states/eV/f.u. As for the final energy: -3.856 eV/atom. The volume is 295 Å³/cell.

***

5.
DFT (GGA-PBE) results for crystalline Nd3Mg7Ag2 at its relaxed geometry.

Unit cell a=10.2485 b=10.2485 c=10.2485 alpha=34.05 beta=34.05 gamma=34.05
With the nearest neighbours (Å) after each atom.
Atoms (fractional coordinates):
Nd 0.0000 0.0000 0.0000  6 Ag 3.47, 12 Mg 3.77
Nd 0.1446 0.1446 0.1446  12 Mg 3.52-3.62, 3 Nd 3.69
Nd 0.8554 0.8554 0.8554  12 Mg 3.52-3.62, 3 Nd 3.69
Mg 0.0761 0.5799 0.5799  2 Ag 2.86, 5 Mg 2.98-3.09
Mg 0.4201 0.4201 0.9239  2 Ag 2.86, 5 Mg 2.98-3.09
Mg 0.4201 0.9239 0.4201  2 Ag 2.86, 5 Mg 2.98-3.09
Mg 0.5000 0.5000 0.5000  6 Mg 3.09
Mg 0.5799 0.0761 0.5799  2 Ag 2.86, 5 Mg 2.98-3.09
Mg 0.5799 0.5799 0.0761  2 Ag 2.86, 5 Mg 2.98-3.09
Mg 0.9239 0.4201 0.4201  2 Ag 2.86, 5 Mg 2.98-3.09
Ag 0.3339 0.3339 0.3339  6 Mg 2.86
Ag 0.6661 0.6661 0.6661  6 Mg 2.86

Values from the calculation:
Its formation energy from the elements is -0.15 eV/atom. As for the density of states at the Fermi level: 11.25 states/eV/f.u. As for the final energy: -2.744 eV/atom. The volume is 301 Å³/cell.

***

6.
DFT (GGA-PBE) results for crystalline NdMg3Ag at its relaxed geometry.

Unit cell a=5.0869 b=5.0869 c=5.0869 alpha=90.00 beta=90.00 gamma=90.00
With the nearest neighbours (Å) after each atom.
Atoms (fractional coordinates):
Nd 0.0000 0.0000 0.0000  12 Mg 3.60
Mg 0.0000 0.5000 0.5000  2 Ag 2.54
Mg 0.5000 0.0000 0.5000  2 Ag 2.54
Mg 0.5000 0.5000 0.0000  2 Ag 2.54
Ag 0.5000 0.5000 0.5000  6 Mg 2.54

Values from the calculation:
Its formation energy from the elements is 0.01 eV/atom. As for the density of states at the Fermi level: 2.24 states/eV/f.u. As for the final energy: -2.471 eV/atom. The volume is 132 Å³/cell.

***

7.
DFT (GGA-PBE) results for crystalline Nd2Mg5Ag5 at its relaxed geometry.

Unit cell a=4.6595 b=5.8184 c=9.8873 alpha=90.00 beta=90.00 gamma=90.00
With the nearest neighbours (Å) after each atom.
Atoms (fractional coordinates):
Nd 0.0000 0.0000 0.0000  6 Ag 3.29-3.36, 8 Mg 3.63
Nd 0.0000 0.5000 0.5000  6 Ag 3.27-3.35
Mg 0.5000 0.0000 0.5000  4 Ag 2.86, 4 Mg 2.96
Mg 0.5000 0.2498 0.2396  5 Ag 2.78-2.90, 3 Mg 2.91-2.96
Mg 0.5000 0.2498 0.7604  5 Ag 2.78-2.90, 3 Mg 2.91-2.96
Mg 0.5000 0.7502 0.2396  5 Ag 2.78-2.90, 3 Mg 2.91-2.96
Mg 0.5000 0.7502 0.7604  5 Ag 2.78-2.90, 3 Mg 2.91-2.96
Ag 0.0000 0.0000 0.3329  6 Mg 2.86-2.90
Ag 0.0000 0.0000 0.6671  6 Mg 2.86-2.90
Ag 0.0000 0.5000 0.1697  4 Mg 2.83, 2 Ag 2.87
Ag 0.0000 0.5000 0.8303  4 Mg 2.83, 2 Ag 2.87
Ag 0.5000 0.5000 0.0000  4 Mg 2.78, 4 Ag 2.87

Values from the calculation:
Its formation energy from the elements is -0.23 eV/atom. As for the density of states at the Fermi level: 7.17 states/eV/f.u. As for the final energy: -2.880 eV/atom. The volume is 268 Å³/cell.

***

8.
DFT (GGA-PBE) results for crystalline NdMgAg at its relaxed geometry.

Unit cell a=6.1558 b=5.8980 c=9.3952 alpha=90.00 beta=109.01 gamma=90.00
With the nearest neighbours (Å) after each atom.
Atoms (fractional coordinates):
Nd 0.1791 0.0000 0.3593  5 Ag 3.07-3.34
Nd 0.3209 0.5000 0.6407  5 Ag 3.07-3.34
Nd 0.6791 0.5000 0.3593  5 Ag 3.07-3.34
Nd 0.8209 0.0000 0.6407  5 Ag 3.07-3.34
Mg 0.2473 0.0000 0.0002  2 Ag 2.82, 4 Mg 2.95-3.11
Mg 0.2527 0.5000 0.9998  2 Ag 2.82, 4 Mg 2.95-3.11
Mg 0.7473 0.5000 0.0002  2 Ag 2.82, 4 Mg 2.95-3.11
Mg 0.7527 0.0000 0.9998  2 Ag 2.82, 4 Mg 2.95-3.11
Ag 0.1316 0.5000 0.2645  2 Mg 2.82, 2 Nd 3.07
Ag 0.3684 0.0000 0.7355  2 Mg 2.82, 2 Nd 3.07
Ag 0.6316 0.0000 0.2645  2 Mg 2.82, 2 Nd 3.07
Ag 0.8684 0.5000 0.7355  2 Mg 2.82, 2 Nd 3.07

Values from the calculation:
Its formation energy from the elements is -0.05 eV/atom. As for the density of states at the Fermi level: 2.87 states/eV/f.u. As for the final energy: -3.122 eV/atom. The volume is 323 Å³/cell.

***

9.
DFT (GGA-PBE) results for crystalline Nd3MgAg at its relaxed geometry.

Unit cell a=7.2109 b=7.2109 c=13.8841 alpha=90.17 beta=90.17 gamma=56.20
With the nearest neighbours (Å) after each atom.
Atoms (fractional coordinates):
Nd 0.0112 0.6306 0.3976  2 Ag 3.21-3.43, 2 Mg 3.34-3.52, 5 Nd 3.47-3.57
Nd 0.0741 0.0840 0.3827  2 Ag 3.10-3.22, 1 Mg 3.39
Nd 0.0840 0.0741 0.8827  2 Ag 3.10-3.22, 1 Mg 3.39
Nd 0.1706 0.5272 0.8072  2 Ag 3.00-3.15
Nd 0.3694 0.9888 0.1024  2 Ag 3.21-3.43, 2 Mg 3.34-3.52, 5 Nd 3.47-3.57
Nd 0.4728 0.8294 0.6928  2 Ag 3.00-3.15
Nd 0.5272 0.1706 0.3072  2 Ag 3.00-3.15
Nd 0.6306 0.0112 0.8976  2 Ag 3.21-3.43, 2 Mg 3.34-3.52, 5 Nd 3.47-3.57
Nd 0.8294 0.4728 0.1928  2 Ag 3.00-3.15
Nd 0.9160 0.9259 0.1173  2 Ag 3.10-3.22, 1 Mg 3.39
Nd 0.9259 0.9160 0.6173  2 Ag 3.10-3.22, 1 Mg 3.39
Nd 0.9888 0.3694 0.6024  2 Ag 3.21-3.43, 2 Mg 3.34-3.52, 5 Nd 3.47-3.57
Mg 0.4031 0.4295 0.0755  2 Ag 2.85, 1 Mg 3.00
Mg 0.4295 0.4031 0.5755  2 Ag 2.85, 1 Mg 3.00
Mg 0.5705 0.5969 0.4245  2 Ag 2.85, 1 Mg 3.00
Mg 0.5969 0.5705 0.9245  2 Ag 2.85, 1 Mg 3.00
Ag 0.0000 0.5000 0.0000  2 Mg 2.85, 2 Nd 3.00
Ag 0.3307 0.6693 0.2500  2 Mg 2.85, 4 Nd 3.10-3.15
Ag 0.5000 0.0000 0.5000  2 Mg 2.85, 2 Nd 3.00
Ag 0.6693 0.3307 0.7500  2 Mg 2.85, 4 Nd 3.10-3.15

Values from the calculation:
Its formation energy from the elements is -0.05 eV/atom. As for the density of states at the Fermi level: 5.39 states/eV/f.u. As for the final energy: -3.796 eV/atom. The volume is 600 Å³/cell.

***

10.
DFT (GGA-PBE) results for crystalline Nd2Mg9Ag6 at its relaxed geometry.

Unit cell a=5.9084 b=5.9084 c=13.6718 alpha=90.00 beta=90.00 gamma=120.00
With the nearest neighbours (Å) after each atom.
Atoms (fractional coordinates):
Nd 0.0000 0.0000 0.1517  6 Ag 3.42, 6 Mg 3.61
Nd 0.0000 0.0000 0.8483  6 Ag 3.42, 6 Mg 3.61
Mg 0.0000 0.5000 0.0000  4 Ag 2.88, 4 Mg 2.95
Mg 0.0000 0.5000 0.3354  4 Ag 2.82-2.84, 4 Mg 2.95
Mg 0.0000 0.5000 0.6646  4 Ag 2.82-2.84, 4 Mg 2.95
Mg 0.5000 0.0000 0.0000  4 Ag 2.88, 4 Mg 2.95
Mg 0.5000 0.0000 0.3354  4 Ag 2.82-2.84, 4 Mg 2.95
Mg 0.5000 0.0000 0.6646  4 Ag 2.82-2.84, 4 Mg 2.95
Mg 0.5000 0.5000 0.0000  4 Ag 2.88, 4 Mg 2.95
Mg 0.5000 0.5000 0.3354  4 Ag 2.82-2.84, 4 Mg 2.95
Mg 0.5000 0.5000 0.6646  4 Ag 2.82-2.84, 4 Mg 2.95
Ag 0.3333 0.6667 0.1695  6 Mg 2.84-2.88
Ag 0.3333 0.6667 0.5000  6 Mg 2.82
Ag 0.3333 0.6667 0.8305  6 Mg 2.84-2.88
Ag 0.6667 0.3333 0.1695  6 Mg 2.84-2.88
Ag 0.6667 0.3333 0.5000  6 Mg 2.82
Ag 0.6667 0.3333 0.8305  6 Mg 2.84-2.88

Values from the calculation:
Its formation energy from the elements is -0.08 eV/atom. As for the density of states at the Fermi level: 7.04 states/eV/f.u. As for the final energy: -2.496 eV/atom. The volume is 413 Å³/cell.